A plane-wave DFT calculation with PBEsol was carried out for a relaxed structure of KLaH3.

D(E_F): 1.92 states/eV/f.u.
Magnetization: 0.000 μB per atom
Energy: -17.4 eV per cell

Cell lengths 4.6111, 4.6111, 4.6111 Å; angles 90.00, 90.00, 90.00 degrees
With the nearest neighbours (Å) after each atom.
Space group Pm-3m (No. 221)
Symmetry-distinct sites (fractional):
K 0.0000 0.0000 0.0000 x1  12 H 3.26
La 0.5000 0.5000 0.5000 x1  6 H 2.31
H 0.0000 0.5000 0.5000 x3  2 La 2.31